Pm4TlCd2Ga | GGA-PBE | optimized geometry

a = 9.325 Å, b = 9.325 Å, c = 9.325 Å
α = 33.55°, β = 33.55°, γ = 33.55°
Element x y z (fractional)
1 Pm 0.121 0.121 0.121
2 Pm 0.371 0.371 0.371
3 Pm 0.629 0.629 0.629
4 Pm 0.879 0.879 0.879
5 Tl 0.500 0.500 0.500
6 Cd 0.248 0.248 0.248
7 Cd 0.752 0.752 0.752
8 Ga 0.000 0.000 0.000

Calculated values
DFT formation energy ... -0.402 eV per atom
Spin magnetization ... 0.0 μB per cell
Fermi-level density of states ... 9.96 states/eV per cell

***

PmYCdGa | GGA-PBE | optimized geometry

a = 5.250 Å, b = 5.250 Å, c = 5.250 Å
α = 60.00°, β = 60.00°, γ = 60.00°
Element x y z (fractional)
1 Pm 0.000 0.000 0.000
2 Y 0.500 0.500 0.500
3 Cd 0.250 0.250 0.250
4 Ga 0.750 0.750 0.750

Calculated values
DFT formation energy ... -0.455 eV per atom
Spin magnetization ... 0.0 μB per cell
ΔE to the lowest computed polymorph ... 13 meV per atom
Fermi-level density of states ... 3.62 states/eV per cell

***

PmYCdGa | GGA-PBE | optimized geometry

a = 3.665 Å, b = 3.665 Å, c = 7.591 Å
α = 90.00°, β = 90.00°, γ = 90.00°
Element x y z (fractional)
1 Pm 0.000 0.000 0.000
2 Y 0.000 0.000 0.469
3 Cd 0.500 0.500 0.723
4 Ga 0.500 0.500 0.243

Calculated values
DFT formation energy ... -0.468 eV per atom
Spin magnetization ... 0.0 μB per cell
ΔE to the lowest computed polymorph ... 0 meV per atom
Fermi-level density of states ... 2.69 states/eV per cell

***

PmZnCdGa2 | GGA-PBE | optimized geometry

a = 6.375 Å, b = 6.375 Å, c = 6.375 Å
α = 140.77°, β = 140.77°, γ = 56.69°
Element x y z (fractional)
1 Pm 0.000 0.000 0.000
2 Zn 0.750 0.250 0.500
3 Cd 0.250 0.750 0.500
4 Ga 0.391 0.391 0.000
5 Ga 0.609 0.609 0.000

Calculated values
DFT formation energy ... -0.420 eV per atom
Spin magnetization ... 0.0 μB per cell
Fermi-level density of states ... 1.24 states/eV per cell

***

PrCd11Ga | GGA-PBE | optimized geometry

a = 7.693 Å, b = 7.693 Å, c = 7.612 Å
α = 98.44°, β = 98.44°, γ = 134.83°
Element x y z (fractional)
1 Pr 0.000 0.000 0.000
2 Cd 0.000 0.000 0.500
3 Cd 0.000 0.500 0.000
4 Cd 0.006 0.356 0.354
5 Cd 0.289 0.499 0.786
6 Cd 0.356 0.006 0.354
7 Cd 0.499 0.289 0.786
8 Cd 0.500 0.000 0.000
9 Cd 0.501 0.711 0.214
10 Cd 0.644 0.994 0.646
11 Cd 0.711 0.501 0.214
12 Cd 0.994 0.644 0.646
13 Ga 0.500 0.500 0.500

Calculated values
DFT formation energy ... -0.107 eV per atom
Spin magnetization ... 0.0 μB per cell
Fermi-level density of states ... 3.62 states/eV per cell

***

PrCd2Ga | GGA-PBE | optimized geometry

a = 11.355 Å, b = 11.355 Å, c = 11.355 Å
α = 16.68°, β = 16.68°, γ = 16.68°
Element x y z (fractional)
1 Pr 0.000 0.000 0.000
2 Cd 0.097 0.097 0.097
3 Cd 0.903 0.903 0.903
4 Ga 0.500 0.500 0.500

Calculated values
DFT formation energy ... 0.175 eV per atom
Spin magnetization ... 0.0 μB per cell
ΔE to the lowest computed polymorph ... 528 meV per atom
Fermi-level density of states ... 3.69 states/eV per cell

***

Pr6CdGa2 | GGA-PBE | optimized geometry

a = 6.657 Å, b = 8.603 Å, c = 11.153 Å
α = 90.00°, β = 118.91°, γ = 90.00°
Element x y z (fractional)
1 Pr 0.059 0.057 0.218
2 Pr 0.059 0.443 0.718
3 Pr 0.170 0.700 0.071
4 Pr 0.170 0.800 0.571
5 Pr 0.414 0.150 0.060
6 Pr 0.414 0.350 0.560
7 Pr 0.586 0.650 0.440
8 Pr 0.586 0.850 0.940
9 Pr 0.830 0.200 0.429
10 Pr 0.830 0.300 0.929
11 Pr 0.941 0.557 0.282
12 Pr 0.941 0.943 0.782
13 Cd 0.500 0.000 0.500
14 Cd 0.500 0.500 0.000
15 Ga 0.313 0.124 0.740
16 Ga 0.313 0.376 0.240
17 Ga 0.687 0.624 0.760
18 Ga 0.687 0.876 0.260

Calculated values
DFT formation energy ... -0.216 eV per atom
Spin magnetization ... 0.0 μB per cell
ΔE to the lowest computed polymorph ... 97 meV per atom
Fermi-level density of states ... 18.63 states/eV per cell

***

Pr6CdGa2 | GGA-PBE | optimized geometry

a = 8.991 Å, b = 8.991 Å, c = 8.991 Å
α = 111.42°, β = 111.28°, γ = 105.77°
Element x y z (fractional)
1 Pr 0.032 0.823 0.209
2 Pr 0.245 0.542 0.297
3 Pr 0.245 0.947 0.703
4 Pr 0.276 0.320 0.596
5 Pr 0.276 0.680 0.956
6 Pr 0.385 0.177 0.209
7 Pr 0.615 0.823 0.791
8 Pr 0.724 0.320 0.044
9 Pr 0.724 0.680 0.404
10 Pr 0.755 0.053 0.297
11 Pr 0.755 0.458 0.703
12 Pr 0.968 0.177 0.791
13 Cd 0.000 0.500 0.500
14 Cd 0.500 0.000 0.500
15 Ga 0.000 0.141 0.141
16 Ga 0.000 0.859 0.859
17 Ga 0.380 0.380 0.000
18 Ga 0.620 0.620 0.000

Calculated values
DFT formation energy ... -0.314 eV per atom
Spin magnetization ... 0.0 μB per cell
ΔE to the lowest computed polymorph ... 0 meV per atom
Fermi-level density of states ... 20.44 states/eV per cell

***

PrCd9Ga3 | GGA-PBE | optimized geometry

a = 7.480 Å, b = 7.480 Å, c = 7.608 Å
α = 99.36°, β = 99.36°, γ = 131.83°
Element x y z (fractional)
1 Pr 0.000 0.000 0.000
2 Cd 0.000 0.000 0.500
3 Cd 0.002 0.354 0.347
4 Cd 0.287 0.504 0.787
5 Cd 0.354 0.002 0.347
6 Cd 0.496 0.713 0.213
7 Cd 0.504 0.287 0.787
8 Cd 0.646 0.998 0.653
9 Cd 0.713 0.496 0.213
10 Cd 0.998 0.646 0.653
11 Ga 0.000 0.500 0.000
12 Ga 0.500 0.000 0.000
13 Ga 0.500 0.500 0.500

Calculated values
DFT formation energy ... -0.083 eV per atom
Spin magnetization ... 0.0 μB per cell
Fermi-level density of states ... 5.55 states/eV per cell

***

Pr3Cd2Ga | GGA-PBE | optimized geometry

a = 5.422 Å, b = 5.422 Å, c = 6.633 Å
α = 90.00°, β = 90.00°, γ = 120.00°
Element x y z (fractional)
1 Pr 0.000 0.000 0.000
2 Pr 0.333 0.667 0.653
3 Pr 0.667 0.333 0.347
4 Cd 0.333 0.667 0.153
5 Cd 0.667 0.333 0.847
6 Ga 0.000 0.000 0.500

Calculated values
DFT formation energy ... -0.378 eV per atom
Spin magnetization ... 0.0 μB per cell
ΔE to the lowest computed polymorph ... 11 meV per atom
Fermi-level density of states ... 9.17 states/eV per cell

***

PrCdGa2 | GGA-PBE | optimized geometry

a = 5.881 Å, b = 5.881 Å, c = 5.881 Å
α = 45.18°, β = 45.18°, γ = 45.18°
Element x y z (fractional)
1 Pr 0.000 0.000 0.000
2 Cd 0.500 0.500 0.500
3 Ga 0.225 0.225 0.225
4 Ga 0.775 0.775 0.775

Calculated values
DFT formation energy ... -0.407 eV per atom
Spin magnetization ... 0.0 μB per cell
ΔE to the lowest computed polymorph ... 6 meV per atom
Fermi-level density of states ... 1.48 states/eV per cell

***

Pr6Cd5Ga | GGA-PBE | optimized geometry

a = 8.612 Å, b = 8.612 Å, c = 7.740 Å
α = 90.00°, β = 90.00°, γ = 143.25°
Element x y z (fractional)
1 Pr 0.000 0.000 0.238
2 Pr 0.000 0.000 0.762
3 Pr 0.339 0.661 0.244
4 Pr 0.339 0.661 0.756
5 Pr 0.661 0.339 0.244
6 Pr 0.661 0.339 0.756
7 Cd 0.169 0.831 0.500
8 Cd 0.173 0.827 0.000
9 Cd 0.500 0.500 0.500
10 Cd 0.827 0.173 0.000
11 Cd 0.831 0.169 0.500
12 Ga 0.500 0.500 0.000

Calculated values
DFT formation energy ... -0.354 eV per atom
Spin magnetization ... 0.0 μB per cell
Fermi-level density of states ... 14.74 states/eV per cell

***

Pr2Cd3Ga | GGA-PBE | optimized geometry

a = 3.693 Å, b = 4.927 Å, c = 8.503 Å
α = 90.00°, β = 90.00°, γ = 90.00°
Element x y z (fractional)
1 Pr 0.000 0.000 0.000
2 Pr 0.000 0.500 0.476
3 Cd 0.500 0.000 0.651
4 Cd 0.500 0.500 0.155
5 Cd 0.500 0.500 0.818
6 Ga 0.500 0.000 0.323

Calculated values
DFT formation energy ... -0.399 eV per atom
Spin magnetization ... 0.0 μB per cell
ΔE to the lowest computed polymorph ... 0 meV per atom
Fermi-level density of states ... 5.56 states/eV per cell

***

Pr2Cd3Ga | GGA-PBE | optimized geometry

a = 9.017 Å, b = 9.017 Å, c = 9.017 Å
α = 153.70°, β = 149.68°, γ = 40.56°
Element x y z (fractional)
1 Pr 0.000 0.000 0.000
2 Pr 0.775 0.275 0.500
3 Cd 0.181 0.681 0.500
4 Cd 0.346 0.846 0.500
5 Cd 0.597 0.597 0.000
6 Ga 0.440 0.440 0.000

Calculated values
DFT formation energy ... -0.311 eV per atom
Spin magnetization ... 0.0 μB per cell
ΔE to the lowest computed polymorph ... 87 meV per atom
Fermi-level density of states ... 6.97 states/eV per cell

***

Pr2CdGa12 | GGA-PBE | optimized geometry

a = 5.974 Å, b = 5.974 Å, c = 17.538 Å
α = 90.00°, β = 90.00°, γ = 90.00°
Element x y z (fractional)
1 Pr 0.250 0.750 0.221
2 Pr 0.250 0.750 0.779
3 Pr 0.750 0.250 0.221
4 Pr 0.750 0.250 0.779
5 Cd 0.250 0.750 0.500
6 Cd 0.750 0.250 0.500
7 Ga 0.001 0.501 0.386
8 Ga 0.001 0.999 0.614
9 Ga 0.064 0.564 0.934
10 Ga 0.064 0.936 0.066
11 Ga 0.250 0.250 0.150
12 Ga 0.250 0.250 0.293
13 Ga 0.250 0.250 0.707
14 Ga 0.250 0.250 0.850
15 Ga 0.436 0.564 0.066
16 Ga 0.436 0.936 0.934
17 Ga 0.499 0.501 0.614
18 Ga 0.499 0.999 0.386
19 Ga 0.501 0.001 0.614
20 Ga 0.501 0.499 0.386
21 Ga 0.564 0.064 0.066
22 Ga 0.564 0.436 0.934
23 Ga 0.750 0.750 0.150
24 Ga 0.750 0.750 0.293
25 Ga 0.750 0.750 0.707
26 Ga 0.750 0.750 0.850
27 Ga 0.936 0.064 0.934
28 Ga 0.936 0.436 0.066
29 Ga 0.999 0.001 0.386
30 Ga 0.999 0.499 0.614

Calculated values
DFT formation energy ... -0.274 eV per atom
Spin magnetization ... 0.0 μB per cell
Fermi-level density of states ... 9.65 states/eV per cell

***

PrCdGa2 | GGA-PBE | optimized geometry

a = 4.575 Å, b = 4.575 Å, c = 4.367 Å
α = 90.00°, β = 90.00°, γ = 90.00°
Element x y z (fractional)
1 Pr 0.000 0.000 0.000
2 Cd 0.500 0.500 0.000
3 Ga 0.000 0.500 0.500
4 Ga 0.500 0.000 0.500

Calculated values
DFT formation energy ... -0.413 eV per atom
Spin magnetization ... 0.0 μB per cell
ΔE to the lowest computed polymorph ... 0 meV per atom
Fermi-level density of states ... 2.76 states/eV per cell

***

Pr3Cd2Ga | GGA-PBE | optimized geometry

a = 3.782 Å, b = 3.782 Å, c = 11.771 Å
α = 90.00°, β = 90.00°, γ = 90.00°
Element x y z (fractional)
1 Pr 0.000 0.000 0.000
2 Pr 0.000 0.000 0.347
3 Pr 0.000 0.000 0.653
4 Cd 0.500 0.500 0.171
5 Cd 0.500 0.500 0.829
6 Ga 0.500 0.500 0.500

Calculated values
DFT formation energy ... -0.389 eV per atom
Spin magnetization ... 0.4 μB per cell
ΔE to the lowest computed polymorph ... 0 meV per atom
Fermi-level density of states ... 6.25 states/eV per cell

***

Pr2Cd2Ga | GGA-PBE | optimized geometry

a = 6.113 Å, b = 6.113 Å, c = 11.437 Å
α = 114.53°, β = 114.53°, γ = 45.28°
Element x y z (fractional)
1 Pr 0.019 0.019 0.338
2 Pr 0.191 0.191 0.109
3 Pr 0.809 0.809 0.891
4 Pr 0.981 0.981 0.662
5 Cd 0.353 0.353 0.442
6 Cd 0.478 0.478 0.117
7 Cd 0.522 0.522 0.883
8 Cd 0.647 0.647 0.558
9 Ga 0.277 0.277 0.666
10 Ga 0.723 0.723 0.334

Calculated values
DFT formation energy ... -0.369 eV per atom
Spin magnetization ... 0.0 μB per cell
ΔE to the lowest computed polymorph ... 0 meV per atom
Fermi-level density of states ... 9.28 states/eV per cell

***

Pr2Cd2Ga | GGA-PBE | optimized geometry

a = 6.126 Å, b = 6.126 Å, c = 6.319 Å
α = 95.80°, β = 95.80°, γ = 37.78°
Element x y z (fractional)
1 Pr 0.190 0.190 0.222
2 Pr 0.810 0.810 0.778
3 Cd 0.082 0.082 0.694
4 Cd 0.918 0.918 0.306
5 Ga 0.500 0.500 0.000

Calculated values
DFT formation energy ... -0.193 eV per atom
Spin magnetization ... 0.0 μB per cell
ΔE to the lowest computed polymorph ... 176 meV per atom
Fermi-level density of states ... 5.16 states/eV per cell

***

Pr8Cd2Ga | GGA-PBE | optimized geometry

a = 9.752 Å, b = 9.752 Å, c = 7.367 Å
α = 108.08°, β = 108.08°, γ = 31.98°
Element x y z (fractional)
1 Pr 0.016 0.016 0.272
2 Pr 0.198 0.198 0.797
3 Pr 0.338 0.338 0.538
4 Pr 0.410 0.410 0.048
5 Pr 0.590 0.590 0.952
6 Pr 0.662 0.662 0.462
7 Pr 0.802 0.802 0.203
8 Pr 0.984 0.984 0.728
9 Cd 0.179 0.179 0.209
10 Cd 0.821 0.821 0.791
11 Ga 0.500 0.500 0.500

Calculated values
DFT formation energy ... -0.168 eV per atom
Spin magnetization ... 0.0 μB per cell
Fermi-level density of states ... 13.31 states/eV per cell

***

Pr4CdGa | GGA-PBE | optimized geometry

a = 5.119 Å, b = 5.119 Å, c = 7.780 Å
α = 90.00°, β = 90.00°, γ = 90.00°
Element x y z (fractional)
1 Pr 0.000 0.500 0.236
2 Pr 0.000 0.500 0.764
3 Pr 0.500 0.000 0.236
4 Pr 0.500 0.000 0.764
5 Cd 0.000 0.000 0.500
6 Ga 0.500 0.500 0.000

Calculated values
DFT formation energy ... -0.079 eV per atom
Spin magnetization ... 0.0 μB per cell
ΔE to the lowest computed polymorph ... 180 meV per atom
Fermi-level density of states ... 9.43 states/eV per cell

***

Pr4Cd2Ga | GGA-PBE | optimized geometry

a = 9.190 Å, b = 9.190 Å, c = 9.190 Å
α = 34.00°, β = 34.00°, γ = 34.00°
Element x y z (fractional)
1 Pr 0.122 0.122 0.122
2 Pr 0.374 0.374 0.374
3 Pr 0.626 0.626 0.626
4 Pr 0.878 0.878 0.878
5 Cd 0.248 0.248 0.248
6 Cd 0.752 0.752 0.752
7 Ga 0.500 0.500 0.500

Calculated values
DFT formation energy ... -0.221 eV per atom
Spin magnetization ... 0.0 μB per cell
Fermi-level density of states ... 9.42 states/eV per cell

***

Pr3CdGa3 | GGA-PBE | optimized geometry

a = 6.160 Å, b = 6.160 Å, c = 14.819 Å
α = 108.91°, β = 108.91°, γ = 43.70°
Element x y z (fractional)
1 Pr 0.023 0.023 0.374
2 Pr 0.105 0.105 0.923
3 Pr 0.238 0.238 0.220
4 Pr 0.762 0.762 0.780
5 Pr 0.895 0.895 0.077
6 Pr 0.977 0.977 0.626
7 Cd 0.259 0.259 0.598
8 Cd 0.741 0.741 0.402
9 Ga 0.381 0.381 0.452
10 Ga 0.394 0.394 0.927
11 Ga 0.468 0.468 0.773
12 Ga 0.532 0.532 0.227
13 Ga 0.606 0.606 0.073
14 Ga 0.619 0.619 0.548

Calculated values
DFT formation energy ... -0.537 eV per atom
Spin magnetization ... 1.3 μB per cell
Fermi-level density of states ... 11.83 states/eV per cell

***

Record-wise DFT total energy values, in eV/f.u.: -29.4; -17.0; -17.0; -15.1; -19.3; -8.9; -37.6; -38.5; -23.2; -21.5; -13.4; -40.5; -17.7; -17.2; -50.9; -13.4; -21.5; -16.3; -15.4; -44.9; -23.5; -25.5; -28.1